Compound: BeCoBi3
Source: the Alexandria database
Functional: GGA-PBE
Structure: relaxed

Lattice parameters (Å, degrees): 5.1011 5.1011 5.1011 90.00 90.00 90.00
With the nearest neighbours (Å) after each atom.
Space group Pm-3m (No. 221)
Inequivalent atoms, fractional coordinates:
Be  0.0000  0.0000  0.0000 x1  12 Bi 3.61
Co  0.5000  0.5000  0.5000 x1  6 Bi 2.55
Bi  0.0000  0.5000  0.5000 x3  2 Co 2.55

Calculated values
calculated total energy: -3.69 eV/atom
Fermi-level density of states: 1.9 states/eV/cell
E_form: 806 meV/atom

---

Compound: BeCo2Bi2
Source: the Alexandria database
Functional: GGA-PBE
Structure: relaxed

Lattice parameters (Å, degrees): 5.2456 5.2456 6.6668 90.00 90.00 90.00
With the nearest neighbours (Å) after each atom.
Space group I4/mmm (No. 139)
Inequivalent atoms, fractional coordinates:
Be  0.0000  0.0000  0.0000 x2  2 Co 2.12
Co  0.0000  0.0000  0.3175 x4  1 Be 2.12
Bi  0.0000  0.5000  0.2500 x4  4 Co 2.66

Calculated values
calculated total energy: -4.55 eV/atom
Fermi-level density of states: 3.4 states/eV/cell
E_form: 585 meV/atom
E above lowest polymorph: 94 meV/atom

---

Compound: Be2CoBi
Source: the Alexandria database
Functional: GGA-PBE
Structure: relaxed

Lattice parameters (Å, degrees): 4.0049 4.0049 15.4270 90.00 90.00 90.00
With the nearest neighbours (Å) after each atom.
Space group I-42d (No. 122)
Inequivalent atoms, fractional coordinates:
Be  0.0570  0.7500  0.1250 x8  2 Be 2.05, 2 Co 2.18
Co  0.0000  0.0000  0.0000 x4  4 Be 2.18
Bi  0.0000  0.0000  0.5000 x4  8 Be 2.81-3.11, 4 Co 2.83

Calculated values
calculated total energy: -4.11 eV/atom
Fermi-level density of states: 9.6 states/eV/cell
E_form: 499 meV/atom

---

Compound: Be2Co2Bi
Source: the Alexandria database
Functional: GGA-PBE
Structure: relaxed

Lattice parameters (Å, degrees): 6.6043 6.6043 2.9864 90.00 90.00 90.00
With the nearest neighbours (Å) after each atom.
Space group P4/mbm (No. 127)
Inequivalent atoms, fractional coordinates:
Be  0.1222  0.3778  0.0000 x4  1 Be 2.28, 4 Co 2.31
Co  0.1429  0.6429  0.5000 x4  4 Be 2.31, 2 Bi 2.54
Bi  0.0000  0.0000  0.5000 x2  4 Co 2.54

Calculated values
calculated total energy: -4.78 eV/atom
Fermi-level density of states: 7.9 states/eV/cell
E_form: 325 meV/atom

---

Compound: BeFeCoBi2
Source: the Alexandria database
Functional: GGA-PBE
Structure: relaxed

Lattice parameters (Å, degrees): 4.9712 4.9712 4.0985 90.00 90.00 90.00
With the nearest neighbours (Å) after each atom.
Space group P4/mmm (No. 123)
Inequivalent atoms, fractional coordinates:
Be  0.0000  0.0000  0.0000 x1  2 Fe 2.05
Fe  0.0000  0.0000  0.5000 x1  2 Be 2.05
Co  0.5000  0.5000  0.0000 x1  8 Bi 3.22, 4 Be 3.52
Bi  0.0000  0.5000  0.5000 x2  2 Fe 2.49

Calculated values
calculated total energy: -4.49 eV/atom
Fermi-level density of states: 7.8 states/eV/cell
E_form: 920 meV/atom

---

Compound: LiBeCoBi2
Source: the Alexandria database
Functional: GGA-PBE
Structure: relaxed

Lattice parameters (Å, degrees): 4.9740 4.9740 4.5340 90.00 90.00 90.00
With the nearest neighbours (Å) after each atom.
Space group P4/mmm (No. 123)
Inequivalent atoms, fractional coordinates:
Li  0.0000  0.0000  0.0000 x1  2 Co 2.27
Be  0.5000  0.5000  0.0000 x1  8 Bi 3.37, 4 Li 3.52
Co  0.0000  0.0000  0.5000 x1  2 Li 2.27, 4 Bi 2.49
Bi  0.0000  0.5000  0.5000 x2  2 Co 2.49

Calculated values
calculated total energy: -3.48 eV/atom
Fermi-level density of states: 2.7 states/eV/cell
E_form: 621 meV/atom

---

Compound: Mn2BeCoBi
Source: the Alexandria database
Functional: GGA-PBE
Structure: relaxed

Lattice parameters (Å, degrees): 5.0753 5.0753 4.7437 90.00 90.00 90.00
With the nearest neighbours (Å) after each atom.
Space group P4/mmm (No. 123)
Inequivalent atoms, fractional coordinates:
Mn  0.0000  0.5000  0.0000 x2  2 Bi 2.54
Be  0.0000  0.0000  0.5000 x1  8 Mn 3.47, 4 Co 3.59
Co  0.5000  0.5000  0.5000 x1  2 Bi 2.37
Bi  0.5000  0.5000  0.0000 x1  2 Co 2.37, 4 Mn 2.54

Calculated values
calculated total energy: -4.86 eV/atom
Fermi-level density of states: 6.6 states/eV/cell
E_form: 1752 meV/atom

---

Compound: BeNbCo2Bi
Source: the Alexandria database
Functional: GGA-PBE
Structure: relaxed

Lattice parameters (Å, degrees): 4.4877 4.4877 5.4734 90.00 90.00 90.00
With the nearest neighbours (Å) after each atom.
Space group P4/mmm (No. 123)
Inequivalent atoms, fractional coordinates:
Be  0.0000  0.0000  0.0000 x1  4 Bi 3.17, 8 Co 3.54
Nb  0.5000  0.5000  0.5000 x1  4 Co 2.24
Co  0.0000  0.5000  0.5000 x2  2 Nb 2.24
Bi  0.5000  0.5000  0.0000 x1  2 Nb 2.74

Calculated values
calculated total energy: -4.77 eV/atom
Fermi-level density of states: 7.5 states/eV/cell
E_form: 1613 meV/atom

---

Compound: BeCo2ReBi
Source: the Alexandria database
Functional: GGA-PBE
Structure: relaxed

Lattice parameters (Å, degrees): 4.0647 4.0647 4.2581 90.00 90.00 90.00
With the nearest neighbours (Å) after each atom.
Space group P4/mmm (No. 123)
Inequivalent atoms, fractional coordinates:
Be  0.0000  0.0000  0.0000 x1  4 Co 2.03, 2 Re 2.13
Co  0.0000  0.5000  0.0000 x2  2 Be 2.03
Re  0.0000  0.0000  0.5000 x1  2 Be 2.13
Bi  0.5000  0.5000  0.5000 x1  4 Re 2.87, 8 Co 2.94

Calculated values
calculated total energy: -6.18 eV/atom
Fermi-level density of states: 4.2 states/eV/cell
E_form: 673 meV/atom

---

Compound: BeCoBi2Sb
Source: the Alexandria database
Functional: GGA-PBE
Structure: relaxed

Lattice parameters (Å, degrees): 5.9177 5.9177 4.6360 90.00 90.00 90.00
With the nearest neighbours (Å) after each atom.
Space group P4/mmm (No. 123)
Inequivalent atoms, fractional coordinates:
Be  0.0000  0.0000  0.0000 x1  8 Bi 3.76, 4 Co 4.18
Co  0.5000  0.5000  0.0000 x1  2 Sb 2.32
Bi  0.0000  0.5000  0.5000 x2  2 Sb 2.96
Sb  0.5000  0.5000  0.5000 x1  2 Co 2.32

Calculated values
calculated total energy: -3.20 eV/atom
Fermi-level density of states: 7.6 states/eV/cell
formation energy (no corrections): 1.3411 eV/atom

---

Compound: TaBe2CoBi
Source: the Alexandria database
Functional: GGA-PBE
Structure: relaxed

Lattice parameters (Å, degrees): 4.4900 4.4900 4.5996 90.00 90.00 90.00
With the nearest neighbours (Å) after each atom.
Space group P4/mmm (No. 123)
Inequivalent atoms, fractional coordinates:
Ta  0.0000  0.0000  0.0000 x1  4 Co 3.17, 8 Be 3.21
Be  0.0000  0.5000  0.5000 x2  2 Bi 2.25
Co  0.5000  0.5000  0.0000 x1  2 Bi 2.30
Bi  0.5000  0.5000  0.5000 x1  4 Be 2.25, 2 Co 2.30

Calculated values
calculated total energy: -4.20 eV/atom
Fermi-level density of states: 5.9 states/eV/cell
E_form: 1860 meV/atom

---

Compound: TaBeCo2Bi
Source: the Alexandria database
Functional: GGA-PBE
Structure: relaxed

Lattice parameters (Å, degrees): 4.0301 4.0301 4.7011 90.00 90.00 90.00
With the nearest neighbours (Å) after each atom.
Space group P4/mmm (No. 123)
Inequivalent atoms, fractional coordinates:
Ta  0.0000  0.0000  0.0000 x1  4 Bi 2.85, 8 Co 3.10
Be  0.5000  0.5000  0.5000 x1  4 Co 2.02
Co  0.0000  0.5000  0.5000 x2  2 Be 2.02
Bi  0.5000  0.5000  0.0000 x1  2 Be 2.35

Calculated values
calculated total energy: -5.87 eV/atom
Fermi-level density of states: 1.0 states/eV/cell
E_form: 861 meV/atom

---

Compound: Be4Cr2Bi
Source: the Alexandria database
Functional: GGA-PBE
Structure: relaxed

Lattice parameters (Å, degrees): 4.6526 4.6526 12.6064 90.00 90.00 90.00
With the nearest neighbours (Å) after each atom.
Space group I4/mmm (No. 139)
Inequivalent atoms, fractional coordinates:
Be  0.0000  0.0000  0.2069 x4  1 Cr 2.35, 1 Bi 2.61
Be  0.0000  0.5000  0.0000 x4  2 Bi 2.33
Cr  0.0000  0.0000  0.3930 x4  1 Be 2.35
Bi  0.0000  0.0000  0.0000 x2  4 Be 2.33

Calculated values
calculated total energy: -3.88 eV/atom
Fermi-level density of states: 11.1 states/eV/cell
E_form: 1555 meV/atom

---

Compound: Be2CrBi2
Source: the Alexandria database
Functional: GGA-PBE
Structure: relaxed

Lattice parameters (Å, degrees): 7.1523 7.1523 3.7469 90.00 90.00 90.00
With the nearest neighbours (Å) after each atom.
Space group P4/mbm (No. 127)
Inequivalent atoms, fractional coordinates:
Be  0.1136  0.3864  0.0000 x4  1 Be 2.30
Cr  0.0000  0.0000  0.5000 x2  4 Bi 2.64
Bi  0.1754  0.6754  0.5000 x4  2 Cr 2.64, 6 Be 2.82-2.84

Calculated values
calculated total energy: -3.96 eV/atom
Fermi-level density of states: 11.9 states/eV/cell
E_form: 1010 meV/atom
E above lowest polymorph: 362 meV/atom

---

Compound: Be2CrBi
Source: the Alexandria database
Functional: GGA-PBE
Structure: relaxed

Lattice parameters (Å, degrees): 6.9509 6.9509 5.1806 90.00 90.00 90.00
With the nearest neighbours (Å) after each atom.
Space group I-42d (No. 122)
Inequivalent atoms, fractional coordinates:
Be  0.2030  0.2500  0.1250 x8  2 Cr 2.33
Cr  0.0000  0.0000  0.0000 x4  4 Be 2.33, 2 Bi 2.59
Bi  0.0000  0.0000  0.5000 x4  2 Cr 2.59, 4 Be 2.78

Calculated values
calculated total energy: -4.21 eV/atom
Fermi-level density of states: 35.7 states/eV/cell
E_form: 1032 meV/atom

---

Compound: Be2CrBi2
Source: the Alexandria database
Functional: GGA-PBE
Structure: relaxed

Lattice parameters (Å, degrees): 3.2052 3.2052 19.6851 90.00 90.00 90.00
With the nearest neighbours (Å) after each atom.
Space group I4/mmm (No. 139)
Inequivalent atoms, fractional coordinates:
Be  0.0000  0.5000  0.2500 x4  4 Be 2.27
Cr  0.0000  0.0000  0.0000 x2  8 Bi 3.10, 4 Cr 3.21
Bi  0.0000  0.0000  0.3927 x4  4 Cr 3.10, 4 Bi 3.21, 4 Be 3.23

Calculated values
calculated total energy: -4.32 eV/atom
Fermi-level density of states: 3.2 states/eV/cell
E_form: 648 meV/atom
E above lowest polymorph: 0 meV/atom

---

Compound: BeCr2CuBi
Source: the Alexandria database
Functional: GGA-PBE
Structure: relaxed

Lattice parameters (Å, degrees): 4.7551 4.7551 4.1400 90.00 90.00 90.00
With the nearest neighbours (Å) after each atom.
Space group P4/mmm (No. 123)
Inequivalent atoms, fractional coordinates:
Be  0.0000  0.0000  0.0000 x1  2 Cu 2.07
Cr  0.0000  0.5000  0.5000 x2  2 Cu 2.38
Cu  0.0000  0.0000  0.5000 x1  2 Be 2.07
Bi  0.5000  0.5000  0.0000 x1  8 Cr 3.15, 4 Be 3.36

Calculated values
calculated total energy: -5.40 eV/atom
Fermi-level density of states: 3.6 states/eV/cell
E_form: 795 meV/atom

---

Compound: KBeCr2Bi
Source: the Alexandria database
Functional: GGA-PBE
Structure: relaxed

Lattice parameters (Å, degrees): 5.4724 5.4724 5.0254 90.00 90.00 90.00
With the nearest neighbours (Å) after each atom.
Space group P4/mmm (No. 123)
Inequivalent atoms, fractional coordinates:
K  0.0000  0.0000  0.0000 x1  8 Cr 3.71, 4 Be 3.87
Be  0.5000  0.5000  0.0000 x1  2 Bi 2.51
Cr  0.0000  0.5000  0.5000 x2  2 Bi 2.74
Bi  0.5000  0.5000  0.5000 x1  2 Be 2.51, 4 Cr 2.74

Calculated values
calculated total energy: -4.40 eV/atom
Fermi-level density of states: 3.6 states/eV/cell
E_form: 1186 meV/atom

---

Compound: KBeCrBi2
Source: the Alexandria database
Functional: GGA-PBE
Structure: relaxed

Lattice parameters (Å, degrees): 5.2366 5.2366 6.3162 90.00 90.00 90.00
With the nearest neighbours (Å) after each atom.
Space group P4/mmm (No. 123)
Inequivalent atoms, fractional coordinates:
K  0.0000  0.0000  0.0000 x1  2 Cr 3.16
Be  0.5000  0.5000  0.0000 x1  4 K 3.70, 8 Bi 4.10
Cr  0.0000  0.0000  0.5000 x1  4 Bi 2.62
Bi  0.0000  0.5000  0.5000 x2  2 Cr 2.62

Calculated values
calculated total energy: -3.56 eV/atom
Fermi-level density of states: 1.8 states/eV/cell
E_form: 878 meV/atom

---

Compound: MgBe2CrBi
Source: the Alexandria database
Functional: GGA-PBE
Structure: relaxed

Lattice parameters (Å, degrees): 4.4733 4.4733 4.9748 90.00 90.00 90.00
With the nearest neighbours (Å) after each atom.
Space group P4/mmm (No. 123)
Inequivalent atoms, fractional coordinates:
Mg  0.0000  0.0000  0.0000 x1  2 Cr 2.49
Be  0.0000  0.5000  0.5000 x2  2 Cr 2.24
Cr  0.0000  0.0000  0.5000 x1  4 Be 2.24, 2 Mg 2.49
Bi  0.5000  0.5000  0.0000 x1  4 Mg 3.16, 8 Be 3.35

Calculated values
calculated total energy: -3.47 eV/atom
Fermi-level density of states: 4.2 states/eV/cell
E_form: 1040 meV/atom
E above lowest polymorph: 0 meV/atom

---

Compound: MgBe2CrBi
Source: the Alexandria database
Functional: GGA-PBE
Structure: relaxed

Lattice parameters (Å, degrees): 4.5451 4.5451 4.8922 90.00 90.00 90.00
With the nearest neighbours (Å) after each atom.
Space group P4/mmm (No. 123)
Inequivalent atoms, fractional coordinates:
Mg  0.0000  0.0000  0.0000 x1  4 Be 2.27, 2 Cr 2.45
Be  0.0000  0.5000  0.0000 x2  2 Mg 2.27
Cr  0.0000  0.0000  0.5000 x1  2 Mg 2.45
Bi  0.5000  0.5000  0.5000 x1  4 Cr 3.21, 8 Be 3.34

Calculated values
calculated total energy: -3.25 eV/atom
Fermi-level density of states: 2.9 states/eV/cell
E_form: 1263 meV/atom
E above lowest polymorph: 223 meV/atom